No. 1
VASP calculation (PBE) on an optimized crystal structure of PuScAs.

As for the density: 8.06 Mg/m³. For the uncorrected energy, the calculation gives -8.987 eV/atom.

The structure belongs to space group F-43m (No. 216); the cell edges are 6.693, 6.693 and 6.693 Å and the angles 90.00°, 90.00° and 90.00°. Symmetry generates all atoms from Pu at (0.000, 0.000, 0.000), Sc at (0.000, 0.000, 0.500) and As at (0.250, 0.250, 0.250).

=====

No. 2
VASP calculation (PBE) on an optimized crystal structure of Cu2SnBi.

As for the density: 9.35 Mg/m³. For the uncorrected energy, the calculation gives -3.632 eV/atom.

The structure belongs to space group Pm-3m (No. 221); the cell edges are 6.863, 6.863 and 6.863 Å and the angles 90.00°, 90.00° and 90.00°. Symmetry generates all atoms from Cu at (0.230, 0.230, 0.230), Sn at (0.000, 0.000, 0.000), Sn at (0.000, 0.000, 0.500), Bi at (0.000, 0.500, 0.500) and Bi at (0.500, 0.500, 0.500).

=====

No. 3
VASP calculation (PBE) on an optimized crystal structure of W2SN.

As for the density: 13.97 Mg/m³. The energy above the most stable polymorph in this dataset is 0.31 eV per formula unit. For the uncorrected energy, the calculation gives -9.358 eV/atom.

The structure belongs to space group P6_3/mmc (No. 194); the cell edges are 2.9363, 2.9363 and 13.1781 Å and the angles 90.00°, 90.00° and 120.00°. Symmetry generates all atoms from W at (0.3333, 0.6667, 0.1092), S at (0.3333, 0.6667, 0.7500) and N at (0.0000, 0.0000, 0.0000).

=====

No. 4
VASP calculation (PBE) on an optimized crystal structure of NbTlFeCu.

As for the density: 10.53 Mg/m³. The energy above the most stable polymorph in this dataset is 0.58 eV per formula unit. For the uncorrected energy, the calculation gives -5.653 eV/atom.

The structure belongs to space group F-43m (No. 216); the cell edges are 6.405, 6.405 and 6.405 Å and the angles 90.00°, 90.00° and 90.00°. Symmetry generates all atoms from Nb at (0.000, 0.000, 0.000), Tl at (0.250, 0.250, 0.250), Fe at (0.250, 0.250, 0.750) and Cu at (0.000, 0.000, 0.500).